{"formula": "CrCuMo3", "functional": "PBE-GGA", "state": "relaxed", "cell": [[4.458, 0.000, 0.000], [0.000, 4.458, 0.000], [0.000, 0.000, 4.458]], "species": ["Cr", "Cu", "Mo", "Mo", "Mo"], "fractional_positions": [[0.000, 0.000, 0.000], [0.500, 0.500, 0.500], [0.000, 0.500, 0.500], [0.500, 0.000, 0.500], [0.500, 0.500, 0.000]], "ef_mev_per_atom": 1921, "crystal_system": "cubic", "rho_g_cm3": 7.56, "total_energy_ev_per_atom": -7.322}

***

{"formula": "Hf2GaNi6", "functional": "PBE-GGA", "state": "relaxed", "cell": [[5.082, 0.000, 0.000], [-2.541, 4.401, 0.000], [0.000, 0.000, 5.421]], "species": ["Hf", "Hf", "Ga", "Ni", "Ni", "Ni", "Ni", "Ni", "Ni"], "fractional_positions": [[0.333, 0.667, 0.337], [0.667, 0.333, 0.663], [0.000, 0.000, 0.500], [0.176, 0.352, 0.827], [0.176, 0.824, 0.827], [0.352, 0.176, 0.173], [0.648, 0.824, 0.827], [0.824, 0.176, 0.173], [0.824, 0.648, 0.173]], "ef_mev_per_atom": -446, "crystal_system": "trigonal", "rho_g_cm3": 10.67, "total_energy_ev_per_atom": -6.848, "e_above_lowest_polymorph_kj_per_mol_fu": 0}

***

{"formula": "Th3NbAl8", "functional": "PBE-GGA", "state": "relaxed", "cell": [[2.765, 1.596, 9.276], [-2.765, 1.596, 9.276], [0.000, -3.193, 9.276]], "species": ["Th", "Th", "Th", "Nb", "Al", "Al", "Al", "Al", "Al", "Al", "Al", "Al"], "fractional_positions": [[0.000, 0.000, 0.000], [0.125, 0.125, 0.125], [0.620, 0.620, 0.620], [0.504, 0.504, 0.504], [0.059, 0.059, 0.557], [0.059, 0.557, 0.059], [0.065, 0.563, 0.563], [0.310, 0.310, 0.310], [0.557, 0.059, 0.059], [0.563, 0.065, 0.563], [0.563, 0.563, 0.065], [0.812, 0.812, 0.812]], "ef_mev_per_atom": -323, "crystal_system": "trigonal", "rho_g_cm3": 6.79, "total_energy_ev_per_atom": -5.512}